Entry 1:
PrErAl2Ga2 | Alexandria | PBE | optimized geometry; crystal system = trigonal; E_form = -0.565 eV/atom; total magnetization = 0.00 μB/cell
1.0
-2.433 2.679 -2.699
-0.237 -4.484 -0.462
-5.492 -0.199 4.753
Pr Al Ga Er
1 2 2 1
direct
0.000 0.000 0.000
0.333 0.667 0.732
0.667 0.333 0.268
0.333 0.667 0.273
0.667 0.333 0.727
0.000 0.000 0.500



Entry 2:
Cs2PtF4 | Alexandria | PBE | optimized geometry; crystal system = tetragonal; total magnetization = 0.00 μB/cell; energy above the lowest structure with this stoichiometry = 164 meV per atom; energy relative to the elements, uncorrected = -1951 meV per atom
1.0
-3.926 1.094 2.204
-2.388 -2.696 -2.915
-2.243 -6.349 4.028
F Cs Pt
4 2 1
direct
0.854 0.854 0.291
0.000 0.500 0.000
0.500 0.000 0.000
0.146 0.146 0.709
0.359 0.359 0.281
0.641 0.641 0.719
0.000 0.000 0.000